8
Lattice="3.9551 0.0000 0.0000 0.0000 6.8884 -0.1464 0.0000 2.4136 6.4380" Properties=species:S:1:pos:R:3 comment="LiPuTh2S4, relaxed, DFT PBE" raw_formation_energy_ev_per_atom=-1.72 pbc="T T T"
S 1.9776 5.6617 1.4886
S 1.9776 3.6403 4.8030
S 3.9551 2.3992 1.4931
S 0.0001 6.9027 4.7984
Li 1.9776 5.8578 6.3648
Pu 0.0000 4.6510 3.1458
Th 0.0000 2.4136 6.4380
Th 1.9776 1.2068 3.2190